# LaNd2N

A relaxed LaNd2N crystal (PBE, Alexandria).

Computed properties:
E_form (uncorrected): -0.583 eV/atom
N(E_F): 4.02 states/eV/f.u.
offset from the most stable computed form: 0 meV per atom

abc: 10.2180 10.2180 10.2180
angles: 20.25 20.25 20.25
Element x y z (fractional)
1 La 0.0000 0.0000 0.0000
2 Nd 0.1204 0.1204 0.1204
3 Nd 0.8796 0.8796 0.8796
4 N 0.5000 0.5000 0.5000